# 1
{
  "formula": "TaCoCu2",
  "functional": "PBE",
  "state": "relaxed",
  "e_above_lowest_polymorph_mev_per_atom": 51,
  "mass_density_g_cm3": 11.62,
  "delta_e_f_mev_per_atom": 76,
  "lattice": [[0.0000, 2.9711, 2.9711], [2.9711, 0.0000, 2.9711], [2.9711, 2.9711, 0.0000]],
  "species": ["Ta", "Co", "Cu", "Cu"],
  "fractional_positions": [[0.0000, 0.0000, 0.0000], [0.7500, 0.7500, 0.7500], [0.2500, 0.2500, 0.2500], [0.5000, 0.5000, 0.5000]]
}

***

# 2
{
  "formula": "CrMoCl2",
  "functional": "PBE",
  "state": "relaxed",
  "formation_energy_uncorrected_ev_per_fu": 0.3,
  "e_above_lowest_polymorph_mev_per_atom": 291,
  "mass_density_g_cm3": 3.89,
  "lattice": [[6.9117, -1.6049, 0.0000], [6.9117, 1.6049, 0.0000], [-0.6061, 0.0000, 4.2085]],
  "species": ["Cr", "Mo", "Cl", "Cl"],
  "fractional_positions": [[0.0000, 0.0000, 0.0000], [0.5000, 0.5000, 0.5000], [0.3635, 0.3635, 0.8053], [0.6365, 0.6365, 0.1947]]
}